# Ac4ZnCu2 GGA-PBE relaxed
# VASP energy (Ry per atom): -0.2748
# Energy of formation (eV/atom): -0.039
# Crystal system: trigonal
# Calculated volume (Å³ per atom): 31.894
# DOS(E_F) (states/eV per atom): 1.16
# Magnetization (μB per formula unit): 0.00
data_Ac4ZnCu2
_space_group_name_H-M_alt 'R -3 m'
_space_group_IT_number 166
_space_group_name_Hall '-R 3 2"'
_cell_length_a 5.4167
_cell_length_b 5.4167
_cell_length_c 26.3597
_cell_angle_alpha 90.00
_cell_angle_beta 90.00
_cell_angle_gamma 120.00
loop_
_atom_site_label
_atom_site_type_symbol
_atom_site_fract_x
_atom_site_fract_y
_atom_site_fract_z
Ac1 Ac 0.0000 0.0000 0.1240
Ac2 Ac 0.0000 0.0000 0.3746
Zn1 Zn 0.0000 0.0000 0.5000
Cu1 Cu 0.0000 0.0000 0.2505